# 1
Compound: Rb2Pa2CoS6
Source: the Alexandria database
Functional: PBE
Structure: relaxed

Unit cell a=6.7008 b=11.5724 c=8.2418 alpha=90.00 beta=105.29 gamma=90.00
With the nearest neighbours (Å) after each atom.
Space group C2/m (No. 12)
Symmetry-distinct sites (fractional):
Rb (0.0000, 0.1657, 0.0000) x4  6 S 3.32-3.40
Pa (0.0000, 0.3364, 0.5000) x4  6 S 2.69-2.70
Co (0.0000, 0.0000, 0.5000) x2  6 S 2.57-2.63
S (0.2230, 0.1639, 0.6836) x8  1 Co 2.63, 2 Pa 2.69-2.70
S (0.2446, 0.5000, 0.6837) x4  1 Co 2.57, 2 Pa 2.69

VASP energy ... -6.0637 eV/atom
ΔE_f (raw) ... -1.264 eV per atom
Crystal system ... monoclinic



# 2
Compound: RbPaCo2S4
Source: the Alexandria database
Functional: PBE
Structure: relaxed

Unit cell a=6.1730 b=8.0345 c=8.9206 alpha=90.00 beta=90.00 gamma=90.00
With the nearest neighbours (Å) after each atom.
Space group I222 (No. 23)
Symmetry-distinct sites (fractional):
Rb (0.0000, 0.0000, 0.0000) x2  8 S 3.48-3.50
Pa (0.0000, 0.0000, 0.5000) x2  4 S 2.58
Co (0.0000, 0.5000, 0.1196) x4  1 Co 2.13, 2 S 2.18
S (0.2405, 0.1710, 0.3207) x8  1 Co 2.18

VASP energy ... -5.8422 eV/atom
ΔE_f (raw) ... -0.694 eV per atom
Crystal system ... orthorhombic



# 3
Compound: Rb2PaCoS4
Source: the Alexandria database
Functional: PBE
Structure: relaxed

Unit cell a=7.3243 b=7.3243 c=9.2855 alpha=90.00 beta=90.00 gamma=90.00
With the nearest neighbours (Å) after each atom.
Space group I-4 (No. 82)
Symmetry-distinct sites (fractional):
Rb (0.0000, 0.0000, 0.0000) x2  4 S 3.38
Rb (0.0000, 0.5000, 0.2500) x2  4 S 3.37
Pa (0.0000, 0.0000, 0.5000) x2  4 S 2.55
Co (0.0000, 0.5000, 0.7500) x2  4 S 2.29
S (0.1470, 0.2614, 0.6402) x8  1 Co 2.29, 1 Pa 2.55

VASP energy ... -5.3427 eV/atom
ΔE_f (raw) ... -0.962 eV per atom
Crystal system ... tetragonal



Number 3 is which compound? Rb2PaCoS4



Which value of ΔE_f (raw) does entry 2 give? -0.694 eV per atom



Look up the VASP energy of the third one. -5.3427 eV/atom